Computed, not measured: crystalline LaCoCu2 at its relaxed geometry at the PBEsol level of DFT.

Structure (extended XYZ):
```
4
Lattice="-3.4088 0.1489 1.5221 1.4529 -0.8456 3.3366 0.5726 4.3603 0.8557" Properties=species:S:1:pos:R:3 pbc="T T T"
Cu 0.7265 -0.4228 1.6683
Cu -1.7044 0.0745 0.7611
Co 0.2863 2.1801 0.4279
La -0.6916 1.8318 2.8572
```

final energy = -20.93 eV/cell
total magnetization = 0.000 μB/atom
formation energy from the elements = 0.205 eV/atom